# CsHgAsBr2 (meta-GGA SCAN, PBEsol geometry)
# E_form (uncorrected)	-549.3	meV per atom
data_CsHgAsBr2
_chemical_formula_sum 'Cs1 Hg1 As1 Br2'
_cell_length_a 5.8482
_cell_length_b 5.8482
_cell_length_c 5.1466
_cell_angle_alpha 90.00
_cell_angle_beta 90.00
_cell_angle_gamma 90.00
_space_group_name_H-M_alt 'P 4/m m m'
_space_group_IT_number 123
_space_group_name_Hall '-P 4 2'
loop_
_atom_site_label
_atom_site_fract_x
_atom_site_fract_y
_atom_site_fract_z
Cs1 0.0000 0.0000 0.0000
Hg1 0.5000 0.5000 0.5000
As1 0.5000 0.5000 0.0000
Br1 0.0000 0.5000 0.5000

---

# Cs2HgAsBr6 (meta-GGA SCAN, PBEsol geometry)
# E_form (uncorrected)	-1089.0	meV per atom
data_Cs2HgAsBr6
_chemical_formula_sum 'Cs8 Hg4 As4 Br24'
_cell_length_a 11.0299
_cell_length_b 11.0299
_cell_length_c 11.0299
_cell_angle_alpha 90.00
_cell_angle_beta 90.00
_cell_angle_gamma 90.00
_space_group_name_H-M_alt 'F m -3 m'
_space_group_IT_number 225
_space_group_name_Hall '-F 4 2 3'
loop_
_atom_site_label
_atom_site_fract_x
_atom_site_fract_y
_atom_site_fract_z
Cs1 0.2500 0.2500 0.2500
Hg1 0.0000 0.0000 0.0000
As1 0.0000 0.0000 0.5000
Br1 0.0000 0.0000 0.2606

---

# Cs2NaAsBr6 (meta-GGA SCAN, PBEsol geometry)
# E_form (uncorrected)	-1385.1	meV per atom
data_Cs2NaAsBr6
_chemical_formula_sum 'Cs8 Na4 As4 Br24'
_cell_length_a 10.9982
_cell_length_b 10.9982
_cell_length_c 10.9982
_cell_angle_alpha 90.00
_cell_angle_beta 90.00
_cell_angle_gamma 90.00
_space_group_name_H-M_alt 'F m -3 m'
_space_group_IT_number 225
_space_group_name_Hall '-F 4 2 3'
loop_
_atom_site_label
_atom_site_fract_x
_atom_site_fract_y
_atom_site_fract_z
Cs1 0.2500 0.2500 0.2500
Na1 0.0000 0.0000 0.0000
As1 0.0000 0.0000 0.5000
Br1 0.0000 0.0000 0.2611

---

# CsAs2OsBr (meta-GGA SCAN, PBEsol geometry)
# E_form (uncorrected)	2525.8	meV per atom
data_CsAs2OsBr
_chemical_formula_sum 'Cs1 As2 Os1 Br1'
_cell_length_a 5.5327
_cell_length_b 5.5327
_cell_length_c 5.9961
_cell_angle_alpha 90.00
_cell_angle_beta 90.00
_cell_angle_gamma 90.00
_space_group_name_H-M_alt 'P 4/m m m'
_space_group_IT_number 123
_space_group_name_Hall '-P 4 2'
loop_
_atom_site_label
_atom_site_fract_x
_atom_site_fract_y
_atom_site_fract_z
Cs1 0.0000 0.0000 0.0000
As1 0.0000 0.5000 0.0000
Os1 0.5000 0.5000 0.5000
Br1 0.0000 0.0000 0.5000

---

# CsAs2PBr (meta-GGA SCAN, PBEsol geometry)
# E_form (uncorrected)	-35.5	meV per atom
data_CsAs2PBr
_chemical_formula_sum 'Cs1 As2 P1 Br1'
_cell_length_a 4.7649
_cell_length_b 4.7649
_cell_length_c 6.6427
_cell_angle_alpha 90.00
_cell_angle_beta 90.00
_cell_angle_gamma 90.00
_space_group_name_H-M_alt 'P 4/m m m'
_space_group_IT_number 123
_space_group_name_Hall '-P 4 2'
loop_
_atom_site_label
_atom_site_fract_x
_atom_site_fract_y
_atom_site_fract_z
Cs1 0.0000 0.0000 0.0000
As1 0.0000 0.5000 0.5000
P1 0.5000 0.5000 0.5000
Br1 0.5000 0.5000 0.0000

---

# CsAsPdBr2 (meta-GGA SCAN, PBEsol geometry)
# E_form (uncorrected)	-597.2	meV per atom
data_CsAsPdBr2
_chemical_formula_sum 'Cs1 As1 Pd1 Br2'
_cell_length_a 5.5079
_cell_length_b 5.5079
_cell_length_c 4.6757
_cell_angle_alpha 90.00
_cell_angle_beta 90.00
_cell_angle_gamma 90.00
_space_group_name_H-M_alt 'P 4/m m m'
_space_group_IT_number 123
_space_group_name_Hall '-P 4 2'
loop_
_atom_site_label
_atom_site_fract_x
_atom_site_fract_y
_atom_site_fract_z
Cs1 0.0000 0.0000 0.0000
As1 0.5000 0.5000 0.0000
Pd1 0.5000 0.5000 0.5000
Br1 0.0000 0.5000 0.5000

---

# CsRb2AsBr6 (meta-GGA SCAN, PBEsol geometry)
# E_form (uncorrected)	-1296.6	meV per atom
data_CsRb2AsBr6
_chemical_formula_sum 'Cs4 Rb8 As4 Br24'
_cell_length_a 11.8087
_cell_length_b 11.8087
_cell_length_c 11.8087
_cell_angle_alpha 90.00
_cell_angle_beta 90.00
_cell_angle_gamma 90.00
_space_group_name_H-M_alt 'F m -3 m'
_space_group_IT_number 225
_space_group_name_Hall '-F 4 2 3'
loop_
_atom_site_label
_atom_site_fract_x
_atom_site_fract_y
_atom_site_fract_z
Cs1 0.0000 0.0000 0.0000
Rb1 0.2500 0.2500 0.2500
As1 0.0000 0.0000 0.5000
Br1 0.0000 0.0000 0.2778

---

# Cs2RbAsBr6 (meta-GGA SCAN, PBEsol geometry)
# E_form (uncorrected)	-1391.0	meV per atom
data_Cs2RbAsBr6
_chemical_formula_sum 'Cs8 Rb4 As4 Br24'
_cell_length_a 11.5856
_cell_length_b 11.5856
_cell_length_c 11.5856
_cell_angle_alpha 90.00
_cell_angle_beta 90.00
_cell_angle_gamma 90.00
_space_group_name_H-M_alt 'F m -3 m'
_space_group_IT_number 225
_space_group_name_Hall '-F 4 2 3'
loop_
_atom_site_label
_atom_site_fract_x
_atom_site_fract_y
_atom_site_fract_z
Cs1 0.2500 0.2500 0.2500
Rb1 0.0000 0.0000 0.0000
As1 0.0000 0.0000 0.5000
Br1 0.0000 0.0000 0.2735

---

# CsAs2RhBr (meta-GGA SCAN, PBEsol geometry)
# E_form (uncorrected)	-272.9	meV per atom
data_CsAs2RhBr
_chemical_formula_sum 'Cs1 As2 Rh1 Br1'
_cell_length_a 4.7396
_cell_length_b 4.7396
_cell_length_c 6.0256
_cell_angle_alpha 90.00
_cell_angle_beta 90.00
_cell_angle_gamma 90.00
_space_group_name_H-M_alt 'P 4/m m m'
_space_group_IT_number 123
_space_group_name_Hall '-P 4 2'
loop_
_atom_site_label
_atom_site_fract_x
_atom_site_fract_y
_atom_site_fract_z
Cs1 0.0000 0.0000 0.0000
As1 0.0000 0.5000 0.5000
Rh1 0.5000 0.5000 0.5000
Br1 0.5000 0.5000 0.0000

---

# CsSiAs2Br (meta-GGA SCAN, PBEsol geometry)
# E_form (uncorrected)	1670.2	meV per atom
data_CsSiAs2Br
_chemical_formula_sum 'Cs1 Si1 As2 Br1'
_cell_length_a 5.5736
_cell_length_b 5.5736
_cell_length_c 6.0576
_cell_angle_alpha 90.00
_cell_angle_beta 90.00
_cell_angle_gamma 90.00
_space_group_name_H-M_alt 'P 4/m m m'
_space_group_IT_number 123
_space_group_name_Hall '-P 4 2'
loop_
_atom_site_label
_atom_site_fract_x
_atom_site_fract_y
_atom_site_fract_z
Cs1 0.0000 0.0000 0.0000
Si1 0.5000 0.5000 0.5000
As1 0.0000 0.5000 0.0000
Br1 0.0000 0.0000 0.5000

---

# CsTaAs2Br (meta-GGA SCAN, PBEsol geometry)
# E_form (uncorrected)	2150.2	meV per atom
data_CsTaAs2Br
_chemical_formula_sum 'Cs1 Ta1 As2 Br1'
_cell_length_a 5.4189
_cell_length_b 5.4189
_cell_length_c 5.8649
_cell_angle_alpha 90.00
_cell_angle_beta 90.00
_cell_angle_gamma 90.00
_space_group_name_H-M_alt 'P 4/m m m'
_space_group_IT_number 123
_space_group_name_Hall '-P 4 2'
loop_
_atom_site_label
_atom_site_fract_x
_atom_site_fract_y
_atom_site_fract_z
Cs1 0.0000 0.0000 0.0000
Ta1 0.5000 0.5000 0.5000
As1 0.0000 0.5000 0.0000
Br1 0.0000 0.0000 0.5000

---

# CsTcAs2Br (meta-GGA SCAN, PBEsol geometry)
# E_form (uncorrected)	1877.9	meV per atom
data_CsTcAs2Br
_chemical_formula_sum 'Cs1 Tc1 As2 Br1'
_cell_length_a 5.5285
_cell_length_b 5.5285
_cell_length_c 6.0377
_cell_angle_alpha 90.00
_cell_angle_beta 90.00
_cell_angle_gamma 90.00
_space_group_name_H-M_alt 'P 4/m m m'
_space_group_IT_number 123
_space_group_name_Hall '-P 4 2'
loop_
_atom_site_label
_atom_site_fract_x
_atom_site_fract_y
_atom_site_fract_z
Cs1 0.0000 0.0000 0.0000
Tc1 0.5000 0.5000 0.5000
As1 0.0000 0.5000 0.0000
Br1 0.0000 0.0000 0.5000